Entry 1:
Density functional theory data (PBE) for a geometry-optimized TbCe2Th4 structure.

POSCAR file:
```
TbCe2Th4
1.0
3.5458 0.0000 0.0000
0.0000 7.9271 0.0000
0.0000 0.0000 7.9271
Th Tb Ce
4 1 2
Cartesian
0.5949 5.5535 5.5535
2.9509 5.5535 2.3736
2.9509 2.3736 5.5535
0.5949 2.3736 2.3736
0.0000 0.0000 0.0000
1.7729 0.0000 3.9635
1.7729 3.9635 0.0000
```


Entry 2:
Density functional theory data (PBE) for a geometry-optimized Ho6MgRu structure.

POSCAR file:
```
Ho6MgRu
1.0
6.5126 0.4801 -0.0971
-1.9773 6.2237 -0.0971
-0.9586 -1.4170 6.0611
Ho Ru Mg
6 1 1
Cartesian
-0.0259 3.4278 1.1915
0.3854 4.0356 4.6755
3.1913 1.2512 1.1915
0.3914 0.5785 3.7506
3.1853 4.7083 2.1164
3.6026 1.8591 4.6755
1.7883 2.6434 2.9335
0.0000 0.0000 0.0000
```


Entry 3:
Density functional theory data (PBE) for a geometry-optimized Rb2TiOF6 structure.

POSCAR file:
```
Rb2TiOF6
1.0
6.2124 0.0000 0.0000
0.0000 6.2124 0.0000
3.1062 3.1062 4.7761
Rb Ti F O
2 1 6 1
Cartesian
3.1062 6.2124 2.3881
6.2124 3.1062 2.3881
0.0000 0.0000 0.0000
4.8764 1.3360 0.0000
4.8764 4.8764 0.0000
1.3360 1.3360 0.0000
3.1062 3.1062 2.8853
6.2124 6.2124 1.8909
1.3360 4.8764 0.0000
3.1062 3.1062 0.0000
```

Output
**Formation energy (no corrections)**: -2620 meV per atom


Entry 4:
Density functional theory data (PBE) for a geometry-optimized SrPrAgSe3 structure.

POSCAR file:
```
SrPrAgSe3
1.0
-0.7670 0.6434 -4.1443
5.8545 -6.1468 -2.0379
-8.0151 -4.8799 0.7258
Pr Se Ag Sr
2 6 2 2
Cartesian
2.3848 -4.8193 -2.2861
-5.3124 -5.5640 -3.1703
0.6643 -2.9422 -3.8693
3.6747 -5.7135 -4.8568
0.2434 -6.8977 -2.2125
-3.1710 -3.4856 -3.2439
-6.6023 -4.6698 -0.5996
-3.5919 -7.4411 -1.5870
-4.3459 -3.2376 -0.7949
1.4184 -7.1456 -4.6615
-1.9557 -8.2360 -4.2063
-0.9719 -2.1473 -1.2500
```

Output
**Formation energy (no corrections)**: -1508 meV per atom


Computed final energy, in the same sequence as the records: -6.32 -4.74 -5.22 -4.80 eV/atom.